DFT (GGA+U) results for an optimized crystal structure of Mn2CuIrO8.

Cell: 5.8003 5.8003 5.8003 Å, 112.15 112.15 104.24°
With the nearest neighbours (Å) after each atom.
Positions (direct):
Mn 0.0000 0.0000 0.0000  4 O 2.01
Mn 0.7500 0.2500 0.5000  4 O 1.69
Cu 0.5000 0.5000 0.0000  4 O 2.04
Ir 0.2500 0.7500 0.5000  4 O 1.81
O 0.0348 0.8071 0.2277  1 Ir 1.81, 1 Mn 2.01
O 0.1028 0.3972 0.7055  1 Mn 1.69
O 0.1929 0.4205 0.2277  1 Ir 1.81, 1 Mn 2.01
O 0.1929 0.9652 0.7723  1 Ir 1.81, 1 Mn 2.01
O 0.5795 0.8071 0.7723  1 Ir 1.81, 1 Mn 2.01
O 0.6028 0.3083 0.7055  1 Mn 1.69
O 0.6028 0.8972 0.2945  1 Mn 1.69
O 0.6917 0.3972 0.2945  1 Mn 1.69

Output
final energy	-6.188	eV/atom
SG	I-4m2
total magnetic moment	5.465	μB/f.u.